Below is BaBiI2O after structural relaxation, with properties calculated at the PBE level.

## Properties
- Formation energy (no corrections): -0.891 eV per atom
- Calculated volume: 187.2 Å³ per cell
- Crystal system: tetragonal

CIF file:
```
data_BaBiI2O
_cell_length_a 6.504
_cell_length_b 6.504
_cell_length_c 4.425
_cell_angle_alpha 90.00
_cell_angle_beta 90.00
_cell_angle_gamma 90.00
_space_group_name_H-M_alt 'P 4/m m m'
_space_group_IT_number 123
_space_group_name_Hall '-P 4 2'
loop_
_atom_site_label
_atom_site_fract_x
_atom_site_fract_y
_atom_site_fract_z
_atom_site_occupancy
Ba1 0.000 0.000 0.000 1
Bi1 0.500 0.500 0.500 1
I1 0.000 0.500 0.500 1
O1 0.500 0.500 0.000 1
```